{
  "formula": "K2AcHg",
  "functional": "PBE",
  "state": "relaxed",
  "formation_energy_ev_per_atom": 0.123,
  "magmom_total_mub_per_cell": 0.0,
  "space_group": "R-3m",
  "volume_a3_per_cell": 182.4,
  "lattice": [[1.981, 1.144, 13.415], [-1.981, 1.144, 13.415], [0.000, -2.288, 13.415]],
  "species": ["K", "K", "Ac", "Hg"],
  "frac_coords": [[0.098, 0.098, 0.098], [0.902, 0.902, 0.902], [0.000, 0.000, 0.000], [0.500, 0.500, 0.500]]
}


{
  "formula": "CeTaPt6",
  "functional": "PBE",
  "state": "relaxed",
  "formation_energy_ev_per_atom": -0.767,
  "magmom_total_mub_per_cell": 0.8,
  "space_group": "P4/mmm",
  "volume_a3_per_cell": 137.5,
  "lattice": [[4.090, 0.000, 0.000], [0.000, 4.090, 0.000], [0.000, 0.000, 8.215]],
  "species": ["Ce", "Ta", "Pt", "Pt", "Pt", "Pt", "Pt", "Pt"],
  "frac_coords": [[0.000, 0.000, 0.000], [0.000, 0.000, 0.500], [0.000, 0.500, 0.268], [0.000, 0.500, 0.732], [0.500, 0.000, 0.268], [0.500, 0.000, 0.732], [0.500, 0.500, 0.000], [0.500, 0.500, 0.500]]
}


{
  "formula": "HoThPaAl",
  "functional": "PBE",
  "state": "relaxed",
  "formation_energy_ev_per_atom": 0.157,
  "magmom_total_mub_per_cell": 0.0,
  "space_group": "F-43m",
  "volume_a3_per_cell": 104.4,
  "lattice": [[0.000, 3.738, 3.738], [3.738, 0.000, 3.738], [3.738, 3.738, 0.000]],
  "species": ["Ho", "Th", "Pa", "Al"],
  "frac_coords": [[0.000, 0.000, 0.000], [0.750, 0.750, 0.750], [0.500, 0.500, 0.500], [0.250, 0.250, 0.250]]
}


{
  "formula": "NdZnPd",
  "functional": "PBE",
  "state": "relaxed",
  "formation_energy_ev_per_atom": -0.686,
  "magmom_total_mub_per_cell": 0.0,
  "space_group": "P-62m",
  "volume_a3_per_cell": 191.5,
  "lattice": [[7.454, 0.000, 0.000], [-3.727, 6.456, 0.000], [0.000, 0.000, 3.979]],
  "species": ["Nd", "Nd", "Nd", "Zn", "Zn", "Zn", "Pd", "Pd", "Pd"],
  "frac_coords": [[0.000, 0.591, 0.000], [0.409, 0.409, 0.000], [0.591, 0.000, 0.000], [0.000, 0.244, 0.500], [0.244, 0.000, 0.500], [0.756, 0.756, 0.500], [0.000, 0.000, 0.000], [0.333, 0.667, 0.500], [0.667, 0.333, 0.500]]
}


{
  "formula": "LaZn2SiIr2",
  "functional": "PBE",
  "state": "relaxed",
  "magmom_total_mub_per_cell": 0.5,
  "raw_formation_energy_ev_per_atom": -0.32,
  "space_group": "P4/mmm",
  "volume_a3_per_cell": 117.5,
  "lattice": [[4.505, 0.000, 0.000], [0.000, 4.505, 0.000], [0.000, 0.000, 5.790]],
  "species": ["La", "Zn", "Zn", "Si", "Ir", "Ir"],
  "frac_coords": [[0.000, 0.000, 0.000], [0.500, 0.500, 0.230], [0.500, 0.500, 0.770], [0.000, 0.000, 0.500], [0.000, 0.500, 0.500], [0.500, 0.000, 0.500]]
}


{
  "formula": "Sm6Tl5Ag",
  "functional": "PBE",
  "state": "relaxed",
  "formation_energy_ev_per_atom": -0.225,
  "magmom_total_mub_per_cell": 0.0,
  "de_polymorph_ev_per_atom": 0.130,
  "space_group": "C2/m",
  "volume_a3_per_cell": 366.3,
  "lattice": [[3.308, -5.798, 0.000], [3.308, 5.798, 0.000], [-2.354, 0.000, 9.548]],
  "species": ["Sm", "Sm", "Sm", "Sm", "Sm", "Sm", "Tl", "Tl", "Tl", "Tl", "Tl", "Ag"],
  "frac_coords": [[0.070, 0.397, 0.236], [0.235, 0.235, 0.735], [0.397, 0.070, 0.236], [0.603, 0.930, 0.764], [0.765, 0.765, 0.265], [0.930, 0.603, 0.764], [0.186, 0.814, 0.500], [0.354, 0.646, 0.000], [0.500, 0.500, 0.500], [0.646, 0.354, 0.000], [0.814, 0.186, 0.500], [0.000, 0.000, 0.000]]
}


{
  "formula": "PmClF",
  "functional": "PBE",
  "state": "relaxed",
  "magmom_total_mub_per_cell": 2.0,
  "raw_formation_energy_ev_per_atom": -2.67,
  "de_polymorph_ev_per_atom": 0.045,
  "space_group": "C2/m",
  "volume_a3_per_cell": 129.7,
  "lattice": [[5.141, -1.963, 0.000], [5.141, 1.963, 0.000], [-1.090, 0.000, 6.426]],
  "species": ["Pm", "Pm", "Cl", "Cl", "F", "F"],
  "frac_coords": [[0.221, 0.221, 0.229], [0.779, 0.779, 0.771], [0.073, 0.073, 0.790], [0.927, 0.927, 0.210], [0.331, 0.331, 0.588], [0.669, 0.669, 0.412]]
}


{
  "formula": "GaReSb2As",
  "functional": "PBE",
  "state": "relaxed",
  "magmom_total_mub_per_cell": 0.4,
  "raw_formation_energy_ev_per_atom": 0.58,
  "space_group": "P4/mmm",
  "volume_a3_per_cell": 129.1,
  "lattice": [[5.163, 0.000, 0.000], [0.000, 5.163, 0.000], [0.000, 0.000, 4.842]],
  "species": ["Ga", "Re", "Sb", "Sb", "As"],
  "frac_coords": [[0.000, 0.000, 0.000], [0.000, 0.000, 0.500], [0.000, 0.500, 0.500], [0.500, 0.000, 0.500], [0.500, 0.500, 0.000]]
}


{
  "formula": "YRhPb3",
  "functional": "PBE",
  "state": "relaxed",
  "formation_energy_ev_per_atom": 1.113,
  "magmom_total_mub_per_cell": 1.1,
  "de_polymorph_ev_per_atom": 1.018,
  "space_group": "Pm-3m",
  "volume_a3_per_cell": 190.5,
  "lattice": [[5.754, 0.000, 0.000], [0.000, 5.754, 0.000], [0.000, 0.000, 5.754]],
  "species": ["Y", "Rh", "Pb", "Pb", "Pb"],
  "frac_coords": [[0.000, 0.000, 0.000], [0.500, 0.500, 0.500], [0.000, 0.000, 0.500], [0.000, 0.500, 0.000], [0.500, 0.000, 0.000]]
}


{
  "formula": "PrTmIr",
  "functional": "PBE",
  "state": "relaxed",
  "formation_energy_ev_per_atom": -0.643,
  "magmom_total_mub_per_cell": 0.0,
  "de_polymorph_ev_per_atom": 0.000,
  "space_group": "P2_1/m",
  "volume_a3_per_cell": 158.7,
  "lattice": [[4.767, 0.000, 0.000], [0.000, 4.692, 0.000], [-1.274, 0.000, 7.094]],
  "species": ["Pr", "Pr", "Tm", "Tm", "Ir", "Ir"],
  "frac_coords": [[0.230, 0.250, 0.390], [0.770, 0.750, 0.610], [0.266, 0.750, 0.011], [0.734, 0.250, 0.989], [0.158, 0.250, 0.776], [0.842, 0.750, 0.224]]
}


{
  "formula": "CaSiTeS2",
  "functional": "PBE",
  "state": "relaxed",
  "magmom_total_mub_per_cell": 0.0,
  "raw_formation_energy_ev_per_atom": 0.58,
  "space_group": "P4/mmm",
  "volume_a3_per_cell": 147.6,
  "lattice": [[5.063, 0.000, 0.000], [0.000, 5.063, 0.000], [0.000, 0.000, 5.759]],
  "species": ["Ca", "Si", "Te", "S", "S"],
  "frac_coords": [[0.000, 0.000, 0.000], [0.000, 0.000, 0.500], [0.500, 0.500, 0.500], [0.000, 0.500, 0.000], [0.500, 0.000, 0.000]]
}


{
  "formula": "MnMoRh2",
  "functional": "PBE",
  "state": "relaxed",
  "formation_energy_ev_per_atom": -0.055,
  "magmom_total_mub_per_cell": 3.0,
  "de_polymorph_ev_per_atom": 0.105,
  "space_group": "Cm",
  "volume_a3_per_cell": 57.6,
  "lattice": [[4.519, -1.382, 0.000], [4.519, 1.382, 0.000], [-0.824, 0.000, 4.610]],
  "species": ["Mn", "Mo", "Rh", "Rh"],
  "frac_coords": [[0.000, 0.000, 0.000], [0.243, 0.243, 0.713], [0.494, 0.494, 0.498], [0.747, 0.747, 0.212]]
}


{
  "formula": "Pr6SiAs2I3",
  "functional": "PBE",
  "state": "relaxed",
  "magmom_total_mub_per_cell": 0.0,
  "raw_formation_energy_ev_per_atom": -1.20,
  "space_group": "C2/m",
  "volume_a3_per_cell": 383.0,
  "lattice": [[9.996, -2.175, 0.000], [9.996, 2.175, 0.000], [-2.862, 0.000, 8.808]],
  "species": ["Pr", "Pr", "Pr", "Pr", "Pr", "Pr", "Si", "As", "As", "I", "I", "I"],
  "frac_coords": [[0.011, 0.011, 0.217], [0.322, 0.322, 0.449], [0.348, 0.348, 0.891], [0.652, 0.652, 0.109], [0.678, 0.678, 0.551], [0.989, 0.989, 0.783], [0.500, 0.500, 0.000], [0.167, 0.167, 0.332], [0.833, 0.833, 0.668], [0.167, 0.167, 0.832], [0.500, 0.500, 0.500], [0.833, 0.833, 0.168]]
}


{
  "formula": "Ta4MnPb",
  "functional": "PBE",
  "state": "relaxed",
  "formation_energy_ev_per_atom": 0.600,
  "magmom_total_mub_per_cell": 2.9,
  "space_group": "F-43m",
  "volume_a3_per_cell": 119.7,
  "lattice": [[0.000, 3.912, 3.912], [3.912, 0.000, 3.912], [3.912, 3.912, 0.000]],
  "species": ["Ta", "Ta", "Ta", "Ta", "Mn", "Pb"],
  "frac_coords": [[0.125, 0.125, 0.125], [0.125, 0.125, 0.626], [0.125, 0.626, 0.125], [0.626, 0.125, 0.125], [0.750, 0.750, 0.750], [0.500, 0.500, 0.500]]
}


{
  "formula": "KSr3Li",
  "functional": "PBE",
  "state": "relaxed",
  "formation_energy_ev_per_atom": 0.159,
  "magmom_total_mub_per_cell": 0.0,
  "de_polymorph_ev_per_atom": 0.000,
  "space_group": "Pm-3m",
  "volume_a3_per_cell": 278.7,
  "lattice": [[6.532, 0.000, 0.000], [0.000, 6.532, 0.000], [0.000, 0.000, 6.532]],
  "species": ["K", "Sr", "Sr", "Sr", "Li"],
  "frac_coords": [[0.000, 0.000, 0.000], [0.000, 0.500, 0.500], [0.500, 0.000, 0.500], [0.500, 0.500, 0.000], [0.500, 0.500, 0.500]]
}


{
  "formula": "LiGa2O",
  "functional": "PBE",
  "state": "relaxed",
  "magmom_total_mub_per_cell": 0.0,
  "raw_formation_energy_ev_per_atom": -0.65,
  "space_group": "I-42d",
  "volume_a3_per_cell": 115.5,
  "lattice": [[-3.614, 3.614, 2.212], [3.614, -3.614, 2.212], [3.614, 3.614, -2.212]],
  "species": ["Li", "Li", "Ga", "Ga", "Ga", "Ga", "O", "O"],
  "frac_coords": [[0.000, 0.000, 0.000], [0.750, 0.250, 0.500], [0.208, 0.625, 0.083], [0.375, 0.458, 0.583], [0.542, 0.125, 0.917], [0.875, 0.792, 0.417], [0.250, 0.750, 0.500], [0.500, 0.500, 0.000]]
}


{
  "formula": "Tb2EuLu",
  "functional": "PBE",
  "state": "relaxed",
  "formation_energy_ev_per_atom": 0.156,
  "magmom_total_mub_per_cell": 7.9,
  "de_polymorph_ev_per_atom": 0.098,
  "space_group": "P4/mmm",
  "volume_a3_per_cell": 131.4,
  "lattice": [[5.873, 0.000, 0.000], [0.000, 5.873, 0.000], [0.000, 0.000, 3.811]],
  "species": ["Tb", "Tb", "Eu", "Lu"],
  "frac_coords": [[0.000, 0.500, 0.000], [0.500, 0.000, 0.000], [0.000, 0.000, 0.500], [0.500, 0.500, 0.500]]
}


{
  "formula": "TeP2PdO",
  "functional": "PBE",
  "state": "relaxed",
  "magmom_total_mub_per_cell": 0.0,
  "raw_formation_energy_ev_per_atom": 0.39,
  "de_polymorph_ev_per_atom": 0.000,
  "space_group": "P4/mmm",
  "volume_a3_per_cell": 90.1,
  "lattice": [[4.828, 0.000, 0.000], [0.000, 4.828, 0.000], [0.000, 0.000, 3.868]],
  "species": ["Te", "P", "P", "Pd", "O"],
  "frac_coords": [[0.000, 0.000, 0.000], [0.000, 0.500, 0.500], [0.500, 0.000, 0.500], [0.500, 0.500, 0.500], [0.500, 0.500, 0.000]]
}


{
  "formula": "Zr3AgHg",
  "functional": "PBE",
  "state": "relaxed",
  "formation_energy_ev_per_atom": 0.059,
  "magmom_total_mub_per_cell": 0.0,
  "de_polymorph_ev_per_atom": 0.000,
  "space_group": "C2/c",
  "volume_a3_per_cell": 438.0,
  "lattice": [[6.242, -4.463, 0.000], [6.242, 4.463, 0.000], [-5.489, 0.000, 7.862]],
  "species": ["Zr", "Zr", "Zr", "Zr", "Zr", "Zr", "Zr", "Zr", "Zr", "Zr", "Zr", "Zr", "Ag", "Ag", "Ag", "Ag", "Hg", "Hg", "Hg", "Hg"],
  "frac_coords": [[0.040, 0.357, 0.566], [0.052, 0.745, 0.903], [0.255, 0.948, 0.597], [0.321, 0.347, 0.908], [0.347, 0.321, 0.408], [0.357, 0.040, 0.066], [0.643, 0.960, 0.934], [0.653, 0.679, 0.592], [0.679, 0.653, 0.092], [0.745, 0.052, 0.403], [0.948, 0.255, 0.097], [0.960, 0.643, 0.434], [0.170, 0.553, 0.187], [0.447, 0.830, 0.313], [0.553, 0.170, 0.687], [0.830, 0.447, 0.813], [0.030, 0.970, 0.250], [0.373, 0.627, 0.750], [0.627, 0.373, 0.250], [0.970, 0.030, 0.750]]
}


{
  "formula": "PaSiAs",
  "functional": "PBE",
  "state": "relaxed",
  "magmom_total_mub_per_cell": 0.0,
  "raw_formation_energy_ev_per_atom": -0.44,
  "de_polymorph_ev_per_atom": 0.191,
  "space_group": "P-6m2",
  "volume_a3_per_cell": 59.7,
  "lattice": [[4.286, 0.000, 0.000], [-2.143, 3.712, 0.000], [0.000, 0.000, 3.753]],
  "species": ["Pa", "Si", "As"],
  "frac_coords": [[0.000, 0.000, 0.000], [0.667, 0.333, 0.500], [0.333, 0.667, 0.500]]
}